Entry from Alexandria: a relaxed structure of KBeV2O6 (GGA+U).

CIF file:
```
data_KBeV2O6
_chemical_formula_sum 'K2 Be2 V4 O12'
_symmetry_space_group_name_H-M 'P 1'
_symmetry_Int_Tables_number 1
_cell_length_a 6.045
_cell_length_b 7.649
_cell_length_c 7.649
_cell_angle_alpha 93.52
_cell_angle_beta 72.04
_cell_angle_gamma 72.04
loop_
_symmetry_equiv_pos_as_xyz
'x,y,z'
loop_
_atom_site_label
_atom_site_type_symbol
_atom_site_fract_x
_atom_site_fract_y
_atom_site_fract_z
K1 K 0.250 0.875 0.125
K2 K 0.750 0.125 0.875
Be1 Be 0.250 0.220 0.780
Be2 Be 0.750 0.780 0.220
V1 V 0.371 0.786 0.612
V2 V 0.129 0.388 0.214
V3 V 0.629 0.214 0.388
V4 V 0.871 0.612 0.786
O1 O 0.241 0.008 0.746
O2 O 0.259 0.254 0.992
O3 O 0.759 0.992 0.254
O4 O 0.741 0.746 0.008
O5 O 0.497 0.775 0.374
O6 O 0.003 0.626 0.225
O7 O 0.503 0.225 0.626
O8 O 0.997 0.374 0.775
O9 O 0.113 0.697 0.661
O10 O 0.387 0.339 0.303
O11 O 0.887 0.303 0.339
O12 O 0.613 0.661 0.697
```

Values from the calculation:
electronic total energy: -7.0186 eV/atom
N(E_F): 3.00 states/eV per cell